(1)
# Na2In2Ga3

A relaxed Na2In2Ga3 crystal (PBE-GGA, the Alexandria database).

The structure in POSCAR format:
```
Na2In2Ga3
1.0
4.446 0.000 0.000
-2.223 6.248 -0.047
0.000 -3.362 6.123
Ga In Na
3 2 2
direct
0.575 0.150 0.427
0.500 0.000 0.000
0.425 0.850 0.573
0.167 0.335 0.287
0.833 0.665 0.713
0.859 0.719 0.209
0.141 0.281 0.791
```

Properties
The value obtained for the total energy is -2.5491 eV per atom. The calculation puts the formation energy at -0.093 eV/atom.


(2)
# V3RhC

A relaxed V3RhC crystal (PBE-GGA, the Alexandria database).

The structure in POSCAR format:
```
V3RhC
1.0
3.960 0.000 0.000
0.000 3.960 0.000
0.000 0.000 3.960
Rh C V
1 1 3
direct
0.500 0.500 0.500
0.000 0.000 0.000
0.000 0.000 0.500
0.000 0.500 0.000
0.500 0.000 0.000
```

Properties
For the excess energy over the best structure of this formula in the dataset, the calculation gives 0.226 eV/f.u. The value obtained for the total energy is -9.0940 eV per atom. The calculation puts the formation energy at -0.308 eV/atom.


(3)
# KRbTlSn

A relaxed KRbTlSn crystal (PBE-GGA, the Alexandria database).

The structure in POSCAR format:
```
KRbTlSn
1.0
-0.421 -5.648 -1.614
1.073 -4.268 3.913
-4.423 -3.319 2.024
Tl Sn K Rb
1 1 1 1
direct
0.500 0.500 0.500
0.250 0.250 0.250
0.000 0.000 0.000
0.750 0.750 0.750
```

Properties
The value obtained for the total energy is -2.1859 eV per atom. The calculation puts the formation energy at -0.077 eV/atom.


(4)
# TbReGe

A relaxed TbReGe crystal (PBE-GGA, the Alexandria database).

The structure in POSCAR format:
```
TbReGe
1.0
-0.170 -1.897 -3.277
-1.096 -3.579 0.599
-9.121 4.801 -0.095
Re Tb Ge
2 2 2
direct
0.310 0.310 0.062
0.690 0.690 0.938
0.848 0.848 0.645
0.152 0.152 0.355
0.709 0.709 0.188
0.291 0.291 0.812
```

Properties
The value obtained for the total energy is -7.2525 eV per atom. The calculation puts the formation energy at -0.021 eV/atom.


(5)
# Pa2NbSi4Ir3

A relaxed Pa2NbSi4Ir3 crystal (PBE-GGA, the Alexandria database).

The structure in POSCAR format:
```
Pa2NbSi4Ir3
1.0
-2.143 3.224 -1.440
-1.397 -2.321 -3.117
-8.048 -2.806 5.697
Si Ir Pa Nb
4 3 2 1
direct
0.000 0.000 0.000
0.000 0.500 0.353
0.500 0.500 0.000
0.500 0.000 0.647
0.000 0.500 0.123
0.500 0.000 0.877
0.000 0.000 0.500
0.500 0.000 0.242
0.000 0.500 0.758
0.500 0.500 0.500
```

Properties
The formation energy from raw total energies is -0.82 eV/atom. The value obtained for the total energy is -8.5515 eV per atom.


(6)
# Pm4TcGe5

A relaxed Pm4TcGe5 crystal (PBE-GGA, the Alexandria database).

The structure in POSCAR format:
```
Pm4TcGe5
1.0
6.029 0.000 0.000
3.014 6.415 0.000
3.014 0.000 6.415
Ge Pm Tc
5 4 1
direct
0.734 0.171 0.363
0.097 0.637 0.171
0.268 0.829 0.637
0.905 0.363 0.829
0.453 0.000 0.000
0.805 0.780 0.609
0.194 0.220 0.391
0.585 0.609 0.220
0.414 0.391 0.780
0.055 0.000 0.000
```

Properties
The value obtained for the total energy is -5.6991 eV per atom. The calculation puts the formation energy at -0.454 eV/atom.